one:
Entry from Alexandria: GdTlSb2 after structural relaxation (PBE-GGA).

a b c (Å): 4.169 4.169 6.680
angles (deg): 90.00 90.00 90.00
Site moments in Bohr magnetons follow the coordinates.
Atoms (fractional coordinates):
Tl1 0.500 0.500 0.500  0.01
Sb1 0.000 0.000 0.222  -0.02
Sb2 0.000 0.000 0.778  -0.02
Gd1 0.500 0.500 0.000  7.04

=====

two:
Entry from Alexandria: GdTlSb2 after structural relaxation (PBE-GGA).

a b c (Å): 4.606 4.606 7.641
angles (deg): 72.46 72.46 60.00
Site moments in Bohr magnetons follow the coordinates.
Atoms (fractional coordinates):
Sb1 0.259 0.259 0.223  -0.03
Sb2 0.741 0.741 0.777  -0.03
Tl1 0.500 0.500 0.500  0.01
Gd1 0.000 0.000 0.000  6.99

=====

Best to worst by energy: one, two.

=====

one:
Entry from Alexandria: GdTmSb after structural relaxation (PBE-GGA).

a b c (Å): 3.989 5.045 5.045
angles (deg): 120.00 90.00 90.00
Site moments in Bohr magnetons follow the coordinates.
Atoms (fractional coordinates):
Tm1 0.095 0.000 0.000  0.06
Gd1 0.623 0.667 0.333  7.05
Sb1 0.282 0.333 0.667  -0.03

=====

two:
Entry from Alexandria: GdTmSb after structural relaxation (PBE-GGA).

a b c (Å): 3.957 3.957 6.050
angles (deg): 109.09 109.09 90.00
Site moments in Bohr magnetons follow the coordinates.
Atoms (fractional coordinates):
Sb1 0.622 0.622 0.244  -0.03
Tm1 0.267 0.267 0.535  0.34
Gd1 0.961 0.961 0.921  7.26

=====

Best to worst by energy: two, one.

=====

one:
Entry from Alexandria: GdY2Sb after structural relaxation (PBE-GGA).

a b c (Å): 4.029 4.029 7.225
angles (deg): 90.00 90.00 90.00
Site moments in Bohr magnetons follow the coordinates.
Atoms (fractional coordinates):
Sb1 0.500 0.500 0.500  -0.01
Y1 0.000 0.000 0.276  0.20
Y2 0.000 0.000 0.724  0.20
Gd1 0.500 0.500 0.000  7.38

=====

two:
Entry from Alexandria: GdY2Sb after structural relaxation (PBE-GGA).

a b c (Å): 4.007 4.007 9.961
angles (deg): 78.40 78.40 60.00
Site moments in Bohr magnetons follow the coordinates.
Atoms (fractional coordinates):
Y1 0.267 0.267 0.200  0.13
Y2 0.733 0.733 0.800  0.13
Gd1 0.500 0.500 0.500  7.45
Sb1 0.000 0.000 0.000  0.01

=====

Best to worst by energy: one, two.

=====

one:
Entry from Alexandria: GdSc3 after structural relaxation (PBE-GGA).

a b c (Å): 3.403 5.860 6.280
angles (deg): 117.81 105.72 90.00
Site moments in Bohr magnetons follow the coordinates.
Atoms (fractional coordinates):
Sc1 0.757 0.094 0.513  -0.06
Sc2 0.500 0.501 0.000  -0.07
Sc3 0.243 0.580 0.487  -0.06
Gd1 0.000 0.992 0.000  7.23

=====

two:
Entry from Alexandria: GdSc3 after structural relaxation (PBE-GGA).

a b c (Å): 5.293 5.293 5.293
angles (deg): 60.00 60.00 60.00
Site moments in Bohr magnetons follow the coordinates.
Atoms (fractional coordinates):
Sc1 0.250 0.250 0.250  -0.04
Sc2 0.750 0.750 0.750  -0.04
Sc3 0.000 0.000 0.000  -0.10
Gd1 0.500 0.500 0.500  7.12

=====

Best to worst by energy: one, two.

=====

one:
Entry from Alexandria: GdSc3 after structural relaxation (PBE-GGA).

a b c (Å): 4.711 4.711 4.711
angles (deg): 90.00 90.00 90.00
Site moments in Bohr magnetons follow the coordinates.
Atoms (fractional coordinates):
Sc1 0.500 0.000 0.500  -0.11
Sc2 0.500 0.500 0.000  -0.11
Sc3 0.000 0.500 0.500  -0.11
Gd1 0.000 0.000 0.000  7.12

=====

two:
Entry from Alexandria: GdSc3 after structural relaxation (PBE-GGA).

a b c (Å): 3.390 5.310 5.864
angles (deg): 90.00 90.00 90.00
Site moments in Bohr magnetons follow the coordinates.
Atoms (fractional coordinates):
Sc1 0.000 0.000 0.995  0.07
Sc2 0.500 0.500 0.831  0.09
Sc3 0.500 0.000 0.506  0.04
Gd1 0.000 0.500 0.335  7.20

=====

Best to worst by energy: two, one.

=====

one:
Entry from Alexandria: GdSc after structural relaxation (PBE-GGA).

a b c (Å): 3.835 3.835 3.835
angles (deg): 90.00 90.00 90.00
Site moments in Bohr magnetons follow the coordinates.
Atoms (fractional coordinates):
Sc1 0.500 0.500 0.500  0.05
Gd1 0.000 0.000 0.000  -7.07

=====

two:
Entry from Alexandria: GdSc after structural relaxation (PBE-GGA).

a b c (Å): 3.437 4.785 7.665
angles (deg): 90.00 63.30 90.00
Site moments in Bohr magnetons follow the coordinates.
Atoms (fractional coordinates):
Sc1 0.635 0.750 0.615  0.12
Sc2 0.365 0.250 0.385  0.12
Gd1 0.883 0.250 0.867  -7.18
Gd2 0.117 0.750 0.133  -7.18

=====

Best to worst by energy: two, one.

=====

one:
Entry from Alexandria: GdSc2Si after structural relaxation (PBE-GGA).

a b c (Å): 4.416 4.434 4.434
angles (deg): 90.00 90.00 90.00
Site moments in Bohr magnetons follow the coordinates.
Atoms (fractional coordinates):
Sc1 0.000 0.500 0.000  -0.02
Sc2 0.000 0.000 0.500  -0.02
Si1 0.500 0.500 0.500  -0.03
Gd1 0.500 0.000 0.000  7.14

=====

two:
Entry from Alexandria: GdSc2Si after structural relaxation (PBE-GGA).

a b c (Å): 4.228 4.228 7.122
angles (deg): 72.73 72.73 60.00
Site moments in Bohr magnetons follow the coordinates.
Atoms (fractional coordinates):
Gd1 0.500 0.500 0.500  7.38
Si1 0.000 0.000 0.000  -0.01
Sc1 0.719 0.719 0.844  0.11
Sc2 0.281 0.281 0.156  0.11

=====

Best to worst by energy: one, two.

=====

one:
Entry from Alexandria: Sm2GdSc after structural relaxation (PBE-GGA).

a b c (Å): 5.602 5.602 5.602
angles (deg): 60.00 60.00 60.00
Site moments in Bohr magnetons follow the coordinates.
Atoms (fractional coordinates):
Sm1 0.750 0.750 0.750  0.06
Sm2 0.250 0.250 0.250  0.06
Sc1 0.500 0.500 0.500  0.03
Gd1 0.000 0.000 0.000  7.20

=====

two:
Entry from Alexandria: Sm2GdSc after structural relaxation (PBE-GGA).

a b c (Å): 4.945 4.993 4.993
angles (deg): 90.00 90.00 90.00
Site moments in Bohr magnetons follow the coordinates.
Atoms (fractional coordinates):
Gd1 0.500 0.500 0.500  7.15
Sm1 0.000 0.000 0.500  -0.03
Sm2 0.000 0.500 0.000  -0.03
Sc1 0.500 0.000 0.000  -0.04

=====

Best to worst by energy: two, one.

=====

one:
Entry from Alexandria: Sm2GdSc after structural relaxation (PBE-GGA).

a b c (Å): 3.564 3.564 9.749
angles (deg): 90.00 90.00 90.00
Site moments in Bohr magnetons follow the coordinates.
Atoms (fractional coordinates):
Gd1 0.500 0.500 0.500  7.19
Sm1 0.000 0.000 0.236  -0.04
Sm2 0.000 0.000 0.764  -0.04
Sc1 0.500 0.500 0.000  -0.09

=====

two:
Entry from Alexandria: Sm2GdSc after structural relaxation (PBE-GGA).

a b c (Å): 3.446 3.446 12.348
angles (deg): 81.98 81.98 60.00
Site moments in Bohr magnetons follow the coordinates.
Atoms (fractional coordinates):
Gd1 0.500 0.500 0.500  7.14
Sm1 0.086 0.086 0.741  -0.07
Sm2 0.914 0.914 0.259  -0.07
Sc1 0.000 0.000 0.000  -0.04

=====

Best to worst by energy: one, two.

=====

one:
Entry from Alexandria: Gd2ScSn after structural relaxation (PBE-GGA).

a b c (Å): 4.125 4.125 6.479
angles (deg): 90.00 90.00 90.00
Site moments in Bohr magnetons follow the coordinates.
Atoms (fractional coordinates):
Sc1 0.500 0.500 0.000  0.14
Gd1 0.000 0.000 0.260  7.20
Gd2 0.000 0.000 0.740  7.20
Sn1 0.500 0.500 0.500  -0.05

=====

two:
Entry from Alexandria: Gd2ScSn after structural relaxation (PBE-GGA).

a b c (Å): 5.351 5.351 5.351
angles (deg): 60.00 60.00 60.00
Site moments in Bohr magnetons follow the coordinates.
Atoms (fractional coordinates):
Gd1 0.750 0.750 0.750  7.23
Gd2 0.250 0.250 0.250  7.23
Sn1 0.500 0.500 0.500  -0.06
Sc1 0.000 0.000 0.000  0.39

=====

three:
Entry from Alexandria: Gd2ScSn after structural relaxation (PBE-GGA).

a b c (Å): 4.747 4.753 4.753
angles (deg): 90.00 90.00 90.00
Site moments in Bohr magnetons follow the coordinates.
Atoms (fractional coordinates):
Sn1 0.500 0.000 0.000  -0.06
Gd1 0.000 0.000 0.500  7.32
Gd2 0.000 0.500 0.000  7.32
Sc1 0.500 0.500 0.500  0.35

=====

four:
Entry from Alexandria: Gd2ScSn after structural relaxation (PBE-GGA).

a b c (Å): 3.450 3.450 11.873
angles (deg): 81.65 81.65 60.00
Site moments in Bohr magnetons follow the coordinates.
Atoms (fractional coordinates):
Gd1 0.910 0.910 0.269  7.14
Gd2 0.090 0.090 0.731  7.14
Sn1 0.000 0.000 0.000  -0.02
Sc1 0.500 0.500 0.500  -0.17

=====

Best to worst by energy: three, one, two, four.

=====

one:
Entry from Alexandria: TbGd2Sc after structural relaxation (PBE-GGA).

a b c (Å): 3.503 3.503 11.491
angles (deg): 81.23 81.23 60.00
Site moments in Bohr magnetons follow the coordinates.
Atoms (fractional coordinates):
Sc1 0.000 0.000 0.000  0.12
Gd1 0.747 0.747 0.760  -7.11
Gd2 0.253 0.253 0.240  -7.11
Tb1 0.500 0.500 0.500  0.06

=====

two:
Entry from Alexandria: TbGd2Sc after structural relaxation (PBE-GGA).

a b c (Å): 4.911 4.948 4.948
angles (deg): 90.00 90.00 90.00
Site moments in Bohr magnetons follow the coordinates.
Atoms (fractional coordinates):
Sc1 0.500 0.000 0.000  0.06
Gd1 0.000 0.500 0.000  -7.14
Gd2 0.000 0.000 0.500  -7.14
Tb1 0.500 0.500 0.500  0.04

=====

Best to worst by energy: two, one.

=====

one:
Entry from Alexandria: TbGdSc after structural relaxation (PBE-GGA).

a b c (Å): 3.502 3.502 7.638
angles (deg): 103.25 103.25 90.00
Site moments in Bohr magnetons follow the coordinates.
Atoms (fractional coordinates):
Tb1 0.007 0.007 0.013  -0.09
Gd1 0.328 0.328 0.656  7.20
Sc1 0.666 0.666 0.331  -0.04

=====

two:
Entry from Alexandria: TbGdSc after structural relaxation (PBE-GGA).

a b c (Å): 3.371 5.482 5.482
angles (deg): 120.00 90.00 90.00
Site moments in Bohr magnetons follow the coordinates.
Atoms (fractional coordinates):
Gd1 0.167 0.000 0.000  7.25
Sc1 0.166 0.333 0.667  0.08
Tb1 0.667 0.667 0.333  0.05

=====

Best to worst by energy: one, two.